No. 1
This record from the Alexandria database describes a geometry-optimized BaAl2Ir structure. The functional is PBE.

Output
Final energy   -5.1318 eV per atom
Mass density   6.449 g cm⁻³
Formation energy   -0.565 eV/atom

Cell: 4.3265 4.3265 18.2735 Å, 90.00 90.00 120.00°
Positions (direct):
Ba  0.0000  0.0000  0.0000
Ba  0.3333  0.6667  0.6667
Ba  0.6667  0.3333  0.3333
Al  0.0000  0.0000  0.1944
Al  0.0000  0.0000  0.8056
Al  0.3333  0.6667  0.4722
Al  0.3333  0.6667  0.8611
Al  0.6667  0.3333  0.1389
Al  0.6667  0.3333  0.5278
Ir  0.0000  0.0000  0.5000
Ir  0.3333  0.6667  0.1667
Ir  0.6667  0.3333  0.8333

No. 2
This record from the Alexandria database describes a geometry-optimized Y6Ge2SeS3 structure. The functional is PBE.

Output
Final energy   -6.9711 eV per atom
Mass density   5.057 g cm⁻³
E_form (uncorrected)   -1647 meV per atom

Cell: 9.0166 9.0166 8.0839 Å, 102.44 102.44 25.94°
Positions (direct):
Y  0.0024  0.0024  0.2620
Y  0.3303  0.3303  0.9108
Y  0.3334  0.3334  0.4170
Y  0.6666  0.6666  0.5830
Y  0.6697  0.6697  0.0892
Y  0.9976  0.9976  0.7380
Ge  0.1663  0.1663  0.3322
Ge  0.8337  0.8337  0.6678
Se  0.5000  0.5000  0.0000
S  0.1643  0.1643  0.8354
S  0.5000  0.5000  0.5000
S  0.8357  0.8357  0.1646